Here is an optimized crystal structure of LaNiAs2 from Alexandria via LeMat-Bulk. Energies are from PBE.

Unit cell a=4.2262 b=4.2262 c=9.1645 alpha=90.00 beta=90.00 gamma=90.00
Last column: nearest neighbours and their distance in Å.
Space group I-4m2 (No. 119)
Unique sites:
La: 0.0000 0.0000 0.0000 x2  8 As 2.99-3.12, 4 Ni 3.12
Ni: 0.0000 0.5000 0.7500 x2  8 As 2.99-3.12, 4 La 3.12
As: 0.0000 0.0000 0.5000 x2  4 La 2.99, 4 Ni 3.12, 4 As 3.12
As: 0.0000 0.5000 0.2500 x2  4 Ni 2.99, 4 As 3.12, 4 La 3.12

Properties
VASP energy (eV/atom): -5.37
DOS(E_F) (states/eV per cell): 8.7
Spin magnetization (μB per cell): 0.0

***

Here is an optimized crystal structure of Zn2CrRe from Alexandria via LeMat-Bulk. Energies are from PBE.

Unit cell a=2.7133 b=2.7133 c=26.6244 alpha=90.00 beta=90.00 gamma=120.00
Last column: nearest neighbours and their distance in Å.
Space group R-3m (No. 166, hexagonal axes)
Unique sites:
Zn: 0.0000 0.0000 0.2485 x6  3 Cr 2.68, 6 Zn 2.71, 3 Re 2.75
Cr: 0.0000 0.0000 0.5000 x3  6 Zn 2.68, 6 Cr 2.71
Re: 0.0000 0.0000 0.0000 x3  6 Re 2.71, 6 Zn 2.75

Properties
VASP energy (eV/atom): -5.83
DOS(E_F) (states/eV per cell): 10.0
ΔE to the lowest computed polymorph (eV per atom): 0.209
Spin magnetization (μB per cell): 5.2

***

Sequential E_form output: -0.365, 0.320 eV/atom